DFT (PBE-GGA) results for an optimized crystal structure of La2MgN.

**Crystal system**: trigonal
**Offset from the most stable computed form**: 0 kJ/mol of formula units
**Total DFT energy (no corrections)**: -5.606 eV/atom
**E_form (uncorrected)**: -663 meV/atom

a = 3.6526 Å, b = 3.6526 Å, c = 27.2212 Å
α = 90.00°, β = 90.00°, γ = 120.00°
Positions (direct):
1 La 0.0000 0.0000 0.0000
2 La 0.0000 0.0000 0.2286
3 La 0.3333 0.6667 0.6667
4 La 0.3333 0.6667 0.8952
5 La 0.6667 0.3333 0.3333
6 La 0.6667 0.3333 0.5619
7 Mg 0.0000 0.0000 0.4487
8 Mg 0.3333 0.6667 0.1154
9 Mg 0.6667 0.3333 0.7821
10 N 0.0000 0.0000 0.6148
11 N 0.3333 0.6667 0.2815
12 N 0.6667 0.3333 0.9482